1.
# TbCd4Hg7

Crystalline TbCd4Hg7 at its relaxed geometry (PBE, the Alexandria database).

Cell: 6.557 5.446 8.647 Å, 80.32 74.17 92.48°
Element x y z (fractional)
Tb 0.000 0.000 0.000
Cd 0.567 0.695 0.339
Cd 0.433 0.305 0.661
Cd 0.689 0.790 0.680
Cd 0.311 0.210 0.320
Hg 0.746 0.491 0.018
Hg 0.254 0.509 0.982
Hg 0.925 0.304 0.672
Hg 0.075 0.696 0.328
Hg 0.200 0.818 0.650
Hg 0.500 0.000 0.000
Hg 0.800 0.182 0.350

Results
Energy relative to the lowest polymorph listed for this composition = 0.00 kcal/mol of atoms
Size of the total moment = 0.00 μB/f.u.
Formation energy from the elements = -0.0914 eV per atom
Space group = P-1 (2)
Raw total energy = -0.958 eV per atom


2.
# SmHo3Ru

Crystalline SmHo3Ru at its relaxed geometry (PBE, the Alexandria database).

Cell: 5.378 5.378 5.378 Å, 90.00 90.00 90.00°
Each line ends with the local moment (μB).
Element x y z (fractional)
Ru 0.000 0.000 0.000  -0.01
Ho 0.000 0.500 0.000  0.04
Ho 0.000 0.000 0.500  0.04
Ho 0.500 0.000 0.000  0.04
Sm 0.500 0.500 0.500  0.08

Results
Energy relative to the lowest polymorph listed for this composition = 1.89 kcal/mol of atoms
Size of the total moment = 0.31 μB/f.u.
Formation energy from the elements = -0.0821 eV per atom
Space group = Pm-3m (221)
Raw total energy = -5.628 eV per atom


3.
# BaTlAu2

Crystalline BaTlAu2 at its relaxed geometry (PBE, the Alexandria database).

Cell: 5.259 5.259 4.172 Å, 90.00 90.00 90.00°
Element x y z (fractional)
Tl 0.000 0.500 0.500
Au 0.000 0.000 0.000
Au 0.500 0.500 0.000
Ba 0.500 0.000 0.500

Results
Size of the total moment = 0.00 μB/f.u.
Formation energy from the elements = -0.4014 eV per atom
Space group = P4/mmm (123)
Raw total energy = -3.112 eV per atom


4.
# Na2InCu2Au5

Crystalline Na2InCu2Au5 at its relaxed geometry (PBE, the Alexandria database).

Cell: 3.884 9.923 9.923 Å, 90.00 90.00 90.00°
Element x y z (fractional)
Na 0.000 0.675 0.175
Na 0.000 0.325 0.825
Na 0.000 0.175 0.325
Na 0.000 0.825 0.675
In 0.000 0.000 0.000
In 0.000 0.500 0.500
Cu 0.000 0.124 0.624
Cu 0.000 0.876 0.376
Cu 0.000 0.624 0.876
Cu 0.000 0.376 0.124
Au 0.500 0.209 0.063
Au 0.500 0.791 0.937
Au 0.500 0.063 0.791
Au 0.500 0.709 0.437
Au 0.500 0.937 0.209
Au 0.500 0.291 0.563
Au 0.500 0.563 0.709
Au 0.500 0.437 0.291
Au 0.500 0.500 0.000
Au 0.500 0.000 0.500

Results
Size of the total moment = 0.00 μB/f.u.
Formation energy from the elements = -0.1983 eV per atom
Space group = P4/mbm (127)
Raw total energy = -3.194 eV per atom